Below is NiBi2O6 after structural relaxation, with properties calculated at the GGA+U level.

a = 4.979 Å, b = 5.504 Å, c = 9.095 Å
α = 90.00°, β = 90.00°, γ = 90.00°
Fractional positions:
1 Ni 0.000 0.000 0.000
2 Ni 0.500 0.500 0.500
3 Bi 0.000 0.500 0.187
4 Bi 0.000 0.500 0.813
5 Bi 0.500 0.000 0.313
6 Bi 0.500 0.000 0.687
7 O 0.196 0.320 0.000
8 O 0.231 0.835 0.162
9 O 0.231 0.835 0.838
10 O 0.269 0.335 0.338
11 O 0.269 0.335 0.662
12 O 0.304 0.820 0.500
13 O 0.696 0.180 0.500
14 O 0.731 0.665 0.338
15 O 0.731 0.665 0.662
16 O 0.769 0.165 0.162
17 O 0.769 0.165 0.838
18 O 0.804 0.680 0.000

calculated density	7.631	g/cm3
final energy	-5.300	eV/atom
N(E_F)	0.131	states/eV/atom